The following is a GGA-PBE calculation of an optimized crystal structure of LaTa2Re, from the Alexandria database.

Results
N(E_F) in states/eV/f.u.: 4.127
ρ in g/cm3: 14.72
M_tot in μB per formula unit: 0.0
Energy relative to the elements in meV per atom: 511
Relative energy among the computed polymorphs in meV/atom: 375
SG: C2/m, No. 12

Unit cell a=5.6301 b=5.6301 c=2.9247 alpha=99.45 beta=99.45 gamma=118.10
Last column: nearest neighbours and their distance in Å.
Fractional coordinates of all 4 atoms:
La  0.0000  0.0000  0.0000  2 Re 2.90, 2 La 2.92, 4 Ta 2.95
Ta  0.0000  0.5000  0.5000  4 Ta 2.90-2.92, 2 Re 2.95, 2 La 2.95
Ta  0.5000  0.0000  0.5000  4 Ta 2.90-2.92, 2 Re 2.95, 2 La 2.95
Re  0.5000  0.5000  0.0000  2 La 2.90, 2 Re 2.92, 4 Ta 2.95



The following is a GGA-PBE calculation of an optimized crystal structure of La2TaRe, from the Alexandria database.

Results
N(E_F) in states/eV/f.u.: 4.529
ρ in g/cm3: 11.15
M_tot in μB per formula unit: 0.0
Energy relative to the elements in meV per atom: 357
Relative energy among the computed polymorphs in meV/atom: 231
SG: Cmm2, No. 35

Unit cell a=3.1108 b=3.1108 c=10.8397 alpha=90.00 beta=90.00 gamma=113.74
Last column: nearest neighbours and their distance in Å.
Fractional coordinates of all 4 atoms:
La  0.0000  0.0000  0.0000  6 La 3.11-3.40, 2 Ta 3.27
La  0.5000  0.5000  0.3386  2 Re 2.99, 4 La 3.11
Ta  0.5000  0.5000  0.7424  2 Re 2.56
Re  0.0000  0.0000  0.5656  2 Ta 2.56



N(E_F) of number 2 (La2TaRe)? 4.529 states/eV/f.u.



Which value of energy relative to the elements does entry 1 give? 511 meV per atom



Which value of energy relative to the elements does entry 1 give? 511 meV per atom



Among the records above, which one has the lowest energy relative to the elements? La2TaRe